## SmTlSbSe3 (PBE)

Data for a relaxed SmTlSbSe3 crystal.

abc: 7.653 7.653 11.899
angles: 90.00 90.00 149.12
Atoms (fractional coordinates):
Se: 0.361 0.639 0.015
Tl: 0.690 0.310 0.250
Sm: 0.000 0.000 0.000
Se: 0.639 0.361 0.985
Se: 0.022 0.978 0.250
Sm: 0.000 0.000 0.500
Sb: 0.625 0.375 0.750
Tl: 0.310 0.690 0.750
Se: 0.639 0.361 0.515
Sb: 0.375 0.625 0.250
Se: 0.978 0.022 0.750
Se: 0.361 0.639 0.485

Raw total energy   -4.418 eV per atom
Volume   357.75 Å³ per cell
Symmetry   No. 63